The following is a DFT calculation (PBE-GGA) of a geometry-optimized Nd2NiAu structure.

## Properties
Calculated formation energy in meV per atom: -537

a = 4.5813 Å, b = 5.8309 Å, c = 7.8446 Å
α = 110.73°, β = 90.00°, γ = 90.00°
Positions (direct):
Nd 0.7500 0.2315 0.4257
Nd 0.2500 0.7863 0.0653
Nd 0.2500 0.7685 0.5743
Nd 0.7500 0.2137 0.9347
Au 0.2500 0.3383 0.7128
Au 0.7500 0.6617 0.2872
Ni 0.7500 0.6563 0.7900
Ni 0.2500 0.3437 0.2100